This record from Alexandria describes a relaxed Sm8Y3Sc2 crystal. The functional is PBE.

The calculation puts the total energy at -66.89 eV per formula unit. The total magnetization comes out at 0.00 μB/cell. Its density is 5.9 g/cm3. The energy of formation from the pure elements is 0.2246 eV per atom.

The space group is C2/m (No. 12) and the conventional cell measures 14.939, 9.211 and 6.765 Å, with angles of 90.00, 109.27 and 90.00 degrees. The inequivalent atoms are Sm at (0.094, 0.000, 0.217), Sm at (0.123, 0.181, 0.694), Sm at (0.190, 0.500, 0.391), Y at (0.000, 0.330, 0.000), Y at (0.000, 0.500, 0.500) and Sc at (0.198, 0.500, 0.918).